VASP calculation (PBE-GGA) on MgGa2Sb after structural relaxation.

Structure (POSCAR):
```
MgGa2Sb
1.0
-4.0633 4.0633 2.8501
4.0633 -4.0633 2.8501
4.0633 4.0633 -2.8501
Mg Ga Sb
2 4 2
direct
0.0000 0.0000 0.0000
0.7500 0.2500 0.5000
0.1465 0.6250 0.0215
0.3750 0.3965 0.5215
0.6035 0.1250 0.9785
0.8750 0.8535 0.4785
0.2500 0.7500 0.5000
0.5000 0.5000 0.0000
```

Computed properties:
formation energy (no corrections) = -0.035 eV per atom
polymorph energy (0 for the lowest one) = 0.038 eV per atom
total magnetization = 0.00 μB per cell
E = -2.978 eV per atom
symmetry = I-42d